[1]
A geometry-optimized Cd2AgAu structure, computed with PBE.

Computed properties:
The value obtained for the distance to the lowest polymorph of the same formula is 12.0 meV/atom.

```
data_Cd2AgAu
_cell_length_a 3.0948
_cell_length_b 4.0321
_cell_length_c 6.1999
_cell_angle_alpha 90.00
_cell_angle_beta 91.03
_cell_angle_gamma 90.00
_space_group_name_H-M_alt 'P 1 2/m 1'
_space_group_IT_number 10
_space_group_name_Hall '-P 2y'
loop_
_atom_site_label
_atom_site_fract_x
_atom_site_fract_y
_atom_site_fract_z
Cd1 0.0006 0.0000 0.2503
Ag1 0.5000 0.5000 0.0000
Au1 0.5000 0.5000 0.5000
```

[2]
A geometry-optimized Ac3SiN structure, computed with PBE.

Computed properties:
For the energy relative to the elements, uncorrected, the calculation gives -0.593 eV per atom. The value obtained for the distance to the lowest polymorph of the same formula is 0.0 meV/atom.

```
data_Ac3SiN
_cell_length_a 4.6134
_cell_length_b 8.2048
_cell_length_c 8.6092
_cell_angle_alpha 90.00
_cell_angle_beta 90.00
_cell_angle_gamma 90.00
_space_group_name_H-M_alt 'P m c 21'
_space_group_IT_number 26
_space_group_name_Hall 'P 2c -2'
loop_
_atom_site_label
_atom_site_fract_x
_atom_site_fract_y
_atom_site_fract_z
Ac1 0.0000 0.0744 0.0000
Ac2 0.0000 0.3982 0.3325
Ac3 0.5000 0.2612 0.6645
Si1 0.5000 0.3790 0.0170
N1 0.0000 0.2145 0.5608
```

[3]
A geometry-optimized Hf3TaPt structure, computed with PBE.

Computed properties:
The value obtained for the distance to the lowest polymorph of the same formula is 0.0 meV/atom.

```
data_Hf3TaPt
_cell_length_a 4.9828
_cell_length_b 4.9828
_cell_length_c 4.9828
_cell_angle_alpha 90.00
_cell_angle_beta 90.00
_cell_angle_gamma 90.00
_space_group_name_H-M_alt 'P m -3 m'
_space_group_IT_number 221
_space_group_name_Hall '-P 4 2 3'
loop_
_atom_site_label
_atom_site_fract_x
_atom_site_fract_y
_atom_site_fract_z
Hf1 0.0000 0.0000 0.5000
Ta1 0.5000 0.5000 0.5000
Pt1 0.0000 0.0000 0.0000
```

[4]
A geometry-optimized Cs2Ba2TaO6 structure, computed with PBE.

Computed properties:
For the energy relative to the elements, uncorrected, the calculation gives -2.238 eV per atom.

```
data_Cs2Ba2TaO6
_cell_length_a 6.5909
_cell_length_b 11.1278
_cell_length_c 7.2136
_cell_angle_alpha 90.00
_cell_angle_beta 105.10
_cell_angle_gamma 90.00
_space_group_name_H-M_alt 'C 1 2/m 1'
_space_group_IT_number 12
_space_group_name_Hall '-C 2y'
loop_
_atom_site_label
_atom_site_fract_x
_atom_site_fract_y
_atom_site_fract_z
Cs1 0.0000 0.1629 0.0000
Ba1 0.0000 0.3384 0.5000
Ta1 0.0000 0.0000 0.5000
O1 0.1748 0.1322 0.6601
O2 0.2039 0.0000 0.3310
```

[5]
A geometry-optimized GdMoAs2 structure, computed with PBE.

Computed properties:
The calculation puts the electronic total energy at -103.76 eV per cell.

```
data_GdMoAs2
_cell_length_a 3.2795
_cell_length_b 3.2795
_cell_length_c 28.4866
_cell_angle_alpha 90.00
_cell_angle_beta 90.00
_cell_angle_gamma 120.00
_space_group_name_H-M_alt 'R -3 m'
_space_group_IT_number 166
_space_group_name_Hall '-R 3 2"'
loop_
_atom_site_label
_atom_site_fract_x
_atom_site_fract_y
_atom_site_fract_z
Gd1 0.0000 0.0000 0.0000
Mo1 0.0000 0.0000 0.5000
As1 0.0000 0.0000 0.1048
```

[6]
A geometry-optimized KPtW2 structure, computed with PBE.

Computed properties:
The value obtained for the distance to the lowest polymorph of the same formula is 1149.0 meV/atom.

```
data_KPtW2
_cell_length_a 5.0896
_cell_length_b 5.0896
_cell_length_c 2.7616
_cell_angle_alpha 90.00
_cell_angle_beta 90.00
_cell_angle_gamma 90.00
_space_group_name_H-M_alt 'P 4/m m m'
_space_group_IT_number 123
_space_group_name_Hall '-P 4 2'
loop_
_atom_site_label
_atom_site_fract_x
_atom_site_fract_y
_atom_site_fract_z
K1 0.0000 0.0000 0.0000
Pt1 0.5000 0.5000 0.0000
W1 0.0000 0.5000 0.5000
```

[7]
A geometry-optimized ReW structure, computed with PBE.

Computed properties:
The value obtained for the distance to the lowest polymorph of the same formula is 192.7 meV/atom.

```
data_ReW
_cell_length_a 2.7906
_cell_length_b 2.7906
_cell_length_c 4.6448
_cell_angle_alpha 90.00
_cell_angle_beta 90.00
_cell_angle_gamma 120.00
_space_group_name_H-M_alt 'P -6 m 2'
_space_group_IT_number 187
_space_group_name_Hall 'P -6 2'
loop_
_atom_site_label
_atom_site_fract_x
_atom_site_fract_y
_atom_site_fract_z
Re1 0.0000 0.0000 0.0000
W1 0.3333 0.6667 0.5000
```

[8]
A geometry-optimized SmMgPdAu structure, computed with PBE.

Computed properties:
The calculation puts the electronic total energy at -35.61 eV per cell.

```
data_SmMgPdAu
_cell_length_a 8.0990
_cell_length_b 4.6643
_cell_length_c 5.2659
_cell_angle_alpha 90.00
_cell_angle_beta 120.67
_cell_angle_gamma 90.00
_space_group_name_H-M_alt 'C 1 m 1'
_space_group_IT_number 8
_space_group_name_Hall 'C -2y'
loop_
_atom_site_label
_atom_site_fract_x
_atom_site_fract_y
_atom_site_fract_z
Sm1 0.0000 0.0000 0.0000
Mg1 0.0042 0.5000 0.5127
Pd1 0.2206 0.0000 0.6624
Au1 0.2780 0.5000 0.3329
```

[9]
A geometry-optimized TmMn6Re2 structure, computed with PBE.

Computed properties:
The calculation puts the electronic total energy at -163.01 eV per cell.

```
data_TmMn6Re2
_cell_length_a 2.7926
_cell_length_b 6.6020
_cell_length_c 13.3269
_cell_angle_alpha 90.00
_cell_angle_beta 90.00
_cell_angle_gamma 90.00
_space_group_name_H-M_alt 'I m m m'
_space_group_IT_number 71
_space_group_name_Hall '-I 2 2'
loop_
_atom_site_label
_atom_site_fract_x
_atom_site_fract_y
_atom_site_fract_z
Tm1 0.0000 0.0000 0.0000
Mn1 0.0000 0.1558 0.5000
Mn2 0.0000 0.3193 0.3140
Re1 0.0000 0.5000 0.1438
```

[10]
A geometry-optimized Cs2PSeS4 structure, computed with PBE.

Computed properties:
For the energy relative to the elements, uncorrected, the calculation gives -0.262 eV per atom.

```
data_Cs2PSeS4
_cell_length_a 10.2460
_cell_length_b 10.1840
_cell_length_c 11.1219
_cell_angle_alpha 90.00
_cell_angle_beta 116.26
_cell_angle_gamma 90.00
_space_group_name_H-M_alt 'C 1 2/c 1'
_space_group_IT_number 15
_space_group_name_Hall '-C 2yc'
loop_
_atom_site_label
_atom_site_fract_x
_atom_site_fract_y
_atom_site_fract_z
Cs1 0.0000 0.0000 0.0000
Cs2 0.2500 0.2500 0.0000
P1 0.2500 0.2500 0.5000
Se1 0.0000 0.5000 0.0000
S1 0.1357 0.4145 0.3703
S2 0.1493 0.3033 0.6418
```

[11]
A geometry-optimized TbDyHo3Sc structure, computed with PBE.

Computed properties:
The calculation puts the electronic total energy at -112.63 eV per cell.

```
data_TbDyHo3Sc
_cell_length_a 21.3048
_cell_length_b 5.4377
_cell_length_c 6.5252
_cell_angle_alpha 90.00
_cell_angle_beta 97.74
_cell_angle_gamma 90.00
_space_group_name_H-M_alt 'C 1 2/m 1'
_space_group_IT_number 12
_space_group_name_Hall '-C 2y'
loop_
_atom_site_label
_atom_site_fract_x
_atom_site_fract_y
_atom_site_fract_z
Tb1 0.1633 0.0000 0.0372
Dy1 0.0710 0.5000 0.2007
Ho1 0.0237 0.0000 0.7612
Ho2 0.1595 0.5000 0.7621
Ho3 0.2270 0.5000 0.3105
Sc1 0.1324 0.0000 0.4712
```

[12]
A geometry-optimized AsHRuRh2 structure, computed with PBE.

Computed properties:
The calculation puts the electronic total energy at -32.25 eV per cell.

```
data_AsHRuRh2
_cell_length_a 3.8647
_cell_length_b 3.8647
_cell_length_c 4.0052
_cell_angle_alpha 90.00
_cell_angle_beta 90.00
_cell_angle_gamma 90.00
_space_group_name_H-M_alt 'P 4/m m m'
_space_group_IT_number 123
_space_group_name_Hall '-P 4 2'
loop_
_atom_site_label
_atom_site_fract_x
_atom_site_fract_y
_atom_site_fract_z
As1 0.0000 0.0000 0.0000
H1 0.5000 0.5000 0.5000
Ru1 0.5000 0.5000 0.0000
Rh1 0.0000 0.5000 0.5000
```

Across the entries above, N(E_F) takes the values 0.151; 0.522; 1.570; 0.708; 0.800; 1.278; 0.854; 0.454; 1.386; 0.470; 1.706; 0.280 states/eV per atom, respectively.